No. 1
# PBE TePtIO2, optimized geometry
data_TePtIO2
_chemical_formula_sum 'Te1 Pt1 I1 O2'
_cell_length_a 4.020
_cell_length_b 4.020
_cell_length_c 7.815
_cell_angle_alpha 90.00
_cell_angle_beta 90.00
_cell_angle_gamma 90.00
_space_group_name_H-M_alt 'P 4/m m m'
_space_group_IT_number 123
_space_group_name_Hall '-P 4 2'
loop_
_atom_site_label
_atom_site_fract_x
_atom_site_fract_y
_atom_site_fract_z
Te1 0.000 0.000 0.000
Pt1 0.500 0.500 0.500
I1 0.500 0.500 0.000
O1 0.000 0.500 0.500
# Offset from the most stable computed form, eV/atom: 0.381
# ΔE_f (raw), eV per atom: 0.3290
# DFT total energy, eV per formula unit: -19.00

=====

No. 2
# PBE TiPtIO2, optimized geometry
data_TiPtIO2
_chemical_formula_sum 'Ti1 Pt1 I1 O2'
_cell_length_a 3.869
_cell_length_b 3.869
_cell_length_c 6.912
_cell_angle_alpha 90.00
_cell_angle_beta 90.00
_cell_angle_gamma 90.00
_space_group_name_H-M_alt 'P 4/m m m'
_space_group_IT_number 123
_space_group_name_Hall '-P 4 2'
loop_
_atom_site_label
_atom_site_fract_x
_atom_site_fract_y
_atom_site_fract_z
Ti1 0.000 0.000 0.000
Pt1 0.500 0.500 0.500
I1 0.500 0.500 0.000
O1 0.000 0.500 0.500
# Offset from the most stable computed form, eV/atom: 1.365
# ΔE_f (raw), eV per atom: 0.2427
# DFT total energy, eV per formula unit: -24.19

=====

No. 3
# PBE TiPtI2O, optimized geometry
data_TiPtI2O
_chemical_formula_sum 'Ti1 Pt1 I2 O1'
_cell_length_a 5.546
_cell_length_b 5.546
_cell_length_c 3.683
_cell_angle_alpha 90.00
_cell_angle_beta 90.00
_cell_angle_gamma 90.00
_space_group_name_H-M_alt 'P 4/m m m'
_space_group_IT_number 123
_space_group_name_Hall '-P 4 2'
loop_
_atom_site_label
_atom_site_fract_x
_atom_site_fract_y
_atom_site_fract_z
Ti1 0.000 0.000 0.000
Pt1 0.500 0.500 0.500
I1 0.000 0.500 0.000
O1 0.000 0.000 0.500
# Offset from the most stable computed form, eV/atom: 0.000
# ΔE_f (raw), eV per atom: -0.4825
# DFT total energy, eV per formula unit: -24.41

=====

No. 4
# PBE TiPtI2O, optimized geometry
data_TiPtI2O
_chemical_formula_sum 'Ti1 Pt1 I2 O1'
_cell_length_a 5.657
_cell_length_b 5.657
_cell_length_c 3.819
_cell_angle_alpha 90.00
_cell_angle_beta 90.00
_cell_angle_gamma 90.00
_space_group_name_H-M_alt 'P 4/m m m'
_space_group_IT_number 123
_space_group_name_Hall '-P 4 2'
loop_
_atom_site_label
_atom_site_fract_x
_atom_site_fract_y
_atom_site_fract_z
Ti1 0.000 0.000 0.000
Pt1 0.500 0.500 0.500
I1 0.000 0.500 0.500
O1 0.500 0.500 0.000
# Offset from the most stable computed form, eV/atom: 0.764
# ΔE_f (raw), eV per atom: 0.2818
# DFT total energy, eV per formula unit: -20.59